No. 1
A plane-wave DFT calculation with PBE-GGA was carried out for a geometry-optimized AgAs2Ir structure.

Calculated values
VASP energy, eV/f.u.: -20.62
Energy of formation, eV/atom: 0.097
Energy above the most stable polymorph in this dataset, meV/atom: 89
Volume, A^3/atom: 19.26

abc: 7.4111 7.4111 7.4111
angles: 27.59 27.59 27.59
Positions (direct):
1 Ag 0.0000 0.0000 0.0000
2 As 0.2357 0.2357 0.2357
3 As 0.7643 0.7643 0.7643
4 Ir 0.5000 0.5000 0.5000

No. 2
A plane-wave DFT calculation with PBE-GGA was carried out for a geometry-optimized AgAs2Ir structure.

Calculated values
VASP energy, eV/f.u.: -20.11
Energy of formation, eV/atom: 0.226
Energy above the most stable polymorph in this dataset, meV/atom: 218
Volume, A^3/atom: 16.78

abc: 4.5614 4.5614 4.5614
angles: 60.00 60.00 60.00
Positions (direct):
1 Ag 0.0000 0.0000 0.0000
2 As 0.2500 0.2500 0.2500
3 As 0.7500 0.7500 0.7500
4 Ir 0.5000 0.5000 0.5000

No. 3
A plane-wave DFT calculation with PBE-GGA was carried out for a geometry-optimized AgAs2Ir structure.

Calculated values
VASP energy, eV/f.u.: -20.09
Energy of formation, eV/atom: 0.232
Energy above the most stable polymorph in this dataset, meV/atom: 223
Volume, A^3/atom: 17.69

abc: 9.2512 9.2512 9.2512
angles: 18.66 18.66 18.66
Positions (direct):
1 Ag 0.0000 0.0000 0.0000
2 As 0.2471 0.2471 0.2471
3 As 0.4855 0.4855 0.4855
4 Ir 0.7530 0.7530 0.7530

No. 4
A plane-wave DFT calculation with PBE-GGA was carried out for a geometry-optimized Ag3AsIr structure.

Calculated values
VASP energy, eV/f.u.: -15.36
Energy of formation, eV/atom: 1.341
Volume, A^3/atom: 25.53

abc: 5.0352 5.0352 5.0352
angles: 90.00 90.00 90.00
Positions (direct):
1 Ag 0.0000 0.0000 0.5000
2 Ag 0.0000 0.5000 0.0000
3 Ag 0.5000 0.0000 0.0000
4 As 0.5000 0.5000 0.5000
5 Ir 0.0000 0.0000 0.0000

No. 5
A plane-wave DFT calculation with PBE-GGA was carried out for a geometry-optimized AgAs2Ir structure.

Calculated values
VASP energy, eV/f.u.: -20.37
Energy of formation, eV/atom: 0.159
Energy above the most stable polymorph in this dataset, meV/atom: 151
Volume, A^3/atom: 23.60

abc: 6.9663 6.9663 6.9663
angles: 130.92 130.92 71.93
Positions (direct):
1 Ag 0.0000 0.0000 0.0000
2 Ag 0.7500 0.2500 0.5000
3 As 0.1611 0.6250 0.0361
4 As 0.3750 0.4111 0.5361
5 As 0.5889 0.1250 0.9639
6 As 0.8750 0.8389 0.4639
7 Ir 0.2500 0.7500 0.5000
8 Ir 0.5000 0.5000 0.0000

No. 6
A plane-wave DFT calculation with PBE-GGA was carried out for a geometry-optimized AgAs2Ir structure.

Calculated values
VASP energy, eV/f.u.: -20.44
Energy of formation, eV/atom: 0.142
Energy above the most stable polymorph in this dataset, meV/atom: 134
Volume, A^3/atom: 17.54

abc: 3.0915 3.0158 7.5263
angles: 90.00 90.23 90.00
Positions (direct):
1 Ag 0.0000 0.0000 0.0000
2 As 0.4986 0.5000 0.2865
3 As 0.5014 0.5000 0.7135
4 Ir 0.0000 0.0000 0.5000